DFT (GGA+U) results for an optimized crystal structure of DyVBi2O8.

Output
Its crystal system is trigonal. The value obtained for the density of states at the Fermi level is 7.833 states/eV/cell. The total energy is -6.22 eV per atom.

abc: 5.318 5.318 6.388
angles: 90.00 90.00 120.00
Fractional coordinates of all 12 atoms:
Dy: 0.000 0.000 0.000
V: 0.000 0.000 0.500
Bi: 0.333 0.667 0.355
Bi: 0.667 0.333 0.645
O: 0.160 0.320 0.681
O: 0.160 0.840 0.681
O: 0.320 0.160 0.319
O: 0.333 0.667 0.040
O: 0.667 0.333 0.960
O: 0.680 0.840 0.681
O: 0.840 0.160 0.319
O: 0.840 0.680 0.319